Entry from the Alexandria database: a relaxed PaNiBO5 crystal (PBE with a Hubbard U).

DFT total energy, eV/cell: -127.3
N(E_F), states/eV per atom: 0.0000
Space-group type: C2/c
Spin magnetization, μB per cell: 3.99

abc: 5.4082 5.4082 6.5023
angles: 92.67 92.67 104.32
With the nearest neighbours (Å) after each atom.
Fractional positions:
Pa: 0.1230 0.8770 0.7500  5 O 2.05-2.24
Pa: 0.8770 0.1230 0.2500  5 O 2.05-2.24
Ni: 0.5000 0.5000 0.0000  4 O 2.01-2.06
Ni: 0.5000 0.5000 0.5000  4 O 2.01-2.06
B: 0.2405 0.7595 0.2500  4 O 1.48-1.49
B: 0.7595 0.2405 0.7500  4 O 1.48-1.49
O: 0.0684 0.8060 0.0798  1 B 1.48
O: 0.1845 0.4874 0.3061  1 B 1.49
O: 0.1940 0.9316 0.4202  1 B 1.48
O: 0.3624 0.6376 0.7500  2 Ni 2.01, 1 Pa 2.05
O: 0.4874 0.1845 0.8061  1 B 1.49
O: 0.5126 0.8155 0.1939  1 B 1.49
O: 0.6376 0.3624 0.2500  2 Ni 2.01, 1 Pa 2.05
O: 0.8060 0.0684 0.5798  1 B 1.48
O: 0.8155 0.5126 0.6939  1 B 1.49
O: 0.9316 0.1940 0.9202  1 B 1.48